Entry from Alexandria: an optimized crystal structure of Ho3Mg2Al (PBE-GGA).

Geometry as POSCAR:
```
Ho3Mg2Al
1.0
-4.018 -2.702 1.975
2.405 -1.680 -4.329
8.137 -6.852 7.181
Ho Al Mg
6 2 4
direct
0.667 0.333 0.090
0.000 0.000 0.745
0.333 0.667 0.416
0.333 0.667 0.910
0.667 0.333 0.584
0.000 0.000 0.255
0.667 0.333 0.338
0.333 0.667 0.662
0.000 0.000 0.500
0.667 0.333 0.837
0.333 0.667 0.163
0.000 0.000 0.000
```

Results
Its raw total energy is -3.644 eV per atom. Its crystal system is trigonal. Its formation energy is -200 meV per atom.

=====

Entry from Alexandria: an optimized crystal structure of Sr2FeSnBr (PBE-GGA).

Geometry as POSCAR:
```
Sr2FeSnBr
1.0
6.419 0.000 0.000
0.000 5.755 0.000
0.000 0.000 6.419
Sn Fe Br Sr
1 1 1 2
direct
0.000 0.000 0.000
0.500 0.500 0.500
0.000 0.500 0.000
0.500 0.000 0.000
0.000 0.000 0.500
```

Results
Its raw total energy is -3.048 eV per atom. Its crystal system is tetragonal. The value obtained for the formation energy from raw total energies is 0.453 eV/atom.

=====

Entry from Alexandria: an optimized crystal structure of Mo5Au (PBE-GGA).

Geometry as POSCAR:
```
Mo5Au
1.0
7.281 -1.125 -3.037
-7.567 2.385 0.742
1.458 4.000 2.015
Mo Au
5 1
direct
0.229 0.771 0.500
0.894 0.106 0.500
0.563 0.437 0.500
0.659 0.341 0.000
0.327 0.673 0.000
0.995 0.005 0.000
```

Results
Its raw total energy is -9.261 eV per atom. Its crystal system is orthorhombic. Its formation energy is 311 meV per atom.

=====

Entry from Alexandria: an optimized crystal structure of AcLa12Y7 (PBE-GGA).

Geometry as POSCAR:
```
AcLa12Y7
1.0
6.310 0.000 -1.299
-3.256 9.908 -5.170
0.203 0.000 11.639
Y La Ac
7 12 1
direct
0.137 0.002 0.748
0.864 0.254 0.002
0.610 0.748 0.746
0.390 0.252 0.254
0.500 0.000 0.000
0.863 0.998 0.252
0.136 0.746 0.998
0.412 0.998 0.358
0.909 0.407 0.814
0.414 0.360 0.002
0.946 0.358 0.360
0.091 0.593 0.186
0.502 0.408 0.593
0.588 0.002 0.642
0.586 0.640 0.998
0.095 0.186 0.592
0.054 0.642 0.640
0.905 0.814 0.408
0.498 0.592 0.407
0.000 0.000 0.000
```

Results
Its raw total energy is -5.159 eV per atom. Its crystal system is trigonal. Its formation energy is 266 meV per atom.

=====

Entry from Alexandria: an optimized crystal structure of Sr4Pa (PBE-GGA).

Geometry as POSCAR:
```
Sr4Pa
1.0
6.382 0.000 0.000
0.000 6.382 0.000
0.000 0.000 6.382
Sr Pa
4 1
direct
0.500 0.000 0.500
0.500 0.500 0.000
0.000 0.500 0.500
0.000 0.000 0.000
0.500 0.500 0.500
```

Results
Its raw total energy is -2.272 eV per atom. Its crystal system is cubic. Its formation energy is 973 meV per atom.

=====

Entry from Alexandria: an optimized crystal structure of GaCuAg2F6 (PBE-GGA).

Geometry as POSCAR:
```
GaCuAg2F6
1.0
-4.451 1.238 3.142
-1.991 -5.166 -0.785
4.338 -2.742 7.040
F Ag Ga Cu
12 4 2 2
direct
0.694 0.279 0.549
0.194 0.221 0.049
0.279 0.704 0.042
0.721 0.296 0.958
0.806 0.779 0.951
0.779 0.796 0.542
0.586 0.024 0.288
0.914 0.524 0.212
0.306 0.721 0.451
0.414 0.976 0.712
0.086 0.476 0.788
0.221 0.204 0.458
0.487 0.466 0.250
0.987 0.034 0.750
0.513 0.534 0.750
0.013 0.966 0.250
0.500 0.000 0.500
0.000 0.500 0.000
0.500 0.000 0.000
0.000 0.500 0.500
```

Results
Its raw total energy is -4.038 eV per atom. Its crystal system is monoclinic. The value obtained for the formation energy from raw total energies is -1.633 eV/atom.

=====

| no. | calculated density (kg/m³) | magnetization (μB per formula unit) |
| --- | --- | --- |
| 1 | 6232 | 0.00 |
| 2 | 3010 | 3.12 |
| 3 | 11526 | 0.00 |
| 4 | 5722 | 0.00 |
| 5 | 3715 | 2.28 |
| 6 | 5649 | 0.15 |